# ScOs2Br | Alexandria via LeMat-Bulk | PBE-GGA | optimized geometry
# E above lowest polymorph, eV per formula unit: 3.83
# DOS(E_F), states/eV per cell: 12.94
# M_tot, Bohr magnetons per cell: 0.00
data_ScOs2Br
_space_group_name_H-M_alt 'F m -3 m'
_space_group_IT_number 225
_space_group_name_Hall '-F 4 2 3'
_cell_length_a 6.431
_cell_length_b 6.431
_cell_length_c 6.431
_cell_angle_alpha 90.00
_cell_angle_beta 90.00
_cell_angle_gamma 90.00
loop_
_atom_site_label
_atom_site_fract_x
_atom_site_fract_y
_atom_site_fract_z
Sc1 0.000 0.000 0.000
Os1 0.250 0.250 0.250
Br1 0.000 0.000 0.500

# BaZn3Rh | Alexandria via LeMat-Bulk | PBE-GGA | optimized geometry
# E above lowest polymorph, eV per formula unit: 0.65
# DOS(E_F), states/eV per cell: 11.78
# M_tot, Bohr magnetons per cell: 0.00
# ΔE_f, kJ per mole of atoms: -21.81
data_BaZn3Rh
_space_group_name_H-M_alt 'C 1 2/m 1'
_space_group_IT_number 12
_cell_length_a 15.934
_cell_length_b 4.552
_cell_length_c 7.121
_cell_angle_alpha 90.00
_cell_angle_beta 113.04
_cell_angle_gamma 90.00
loop_
_space_group_symop_operation_xyz
'x,y,z'
'-x,-y,-z'
'-x,y,-z'
'x,-y,z'
'x+1/2,y+1/2,z'
'-x+1/2,-y+1/2,-z'
'-x+1/2,y+1/2,-z'
'x+1/2,-y+1/2,z'
loop_
_atom_site_label
_atom_site_fract_x
_atom_site_fract_y
_atom_site_fract_z
Ba1 0.149 0.000 0.237
Zn1 0.028 0.500 0.843
Zn2 0.089 0.500 0.545
Zn3 0.149 0.000 0.754
Rh1 0.197 0.500 0.922

# Nd2ErTh3 | Alexandria via LeMat-Bulk | PBE-GGA | optimized geometry
# DOS(E_F), states/eV per cell: 30.70
# M_tot, Bohr magnetons per cell: 0.01
# ΔE_f, kJ per mole of atoms: 19.00
data_Nd2ErTh3
_space_group_name_H-M_alt 'C m c m'
_space_group_IT_number 63
_space_group_name_Hall '-C 2c 2'
_cell_length_a 10.308
_cell_length_b 11.434
_cell_length_c 6.774
_cell_angle_alpha 90.00
_cell_angle_beta 90.00
_cell_angle_gamma 90.00
loop_
_atom_site_label
_atom_site_fract_x
_atom_site_fract_y
_atom_site_fract_z
Nd1 0.167 0.230 0.250
Er1 0.000 0.271 0.750
Th1 0.000 0.000 0.000
Th2 0.166 0.500 0.000

# RbCuI2N | Alexandria via LeMat-Bulk | PBE-GGA | optimized geometry
# E above lowest polymorph, eV per formula unit: 0.00
# DOS(E_F), states/eV per cell: 1.96
# M_tot, Bohr magnetons per cell: 2.25
data_RbCuI2N
_space_group_name_H-M_alt 'P 4/m m m'
_space_group_IT_number 123
_space_group_name_Hall '-P 4 2'
_cell_length_a 6.179
_cell_length_b 6.179
_cell_length_c 3.771
_cell_angle_alpha 90.00
_cell_angle_beta 90.00
_cell_angle_gamma 90.00
loop_
_atom_site_label
_atom_site_fract_x
_atom_site_fract_y
_atom_site_fract_z
Rb1 0.000 0.000 0.000
Cu1 0.500 0.500 0.500
I1 0.000 0.500 0.500
N1 0.500 0.500 0.000

# NaPbBr3 | Alexandria via LeMat-Bulk | PBE-GGA | optimized geometry
# VASP energy, eV per atom: -3.129
# DOS(E_F), states/eV per cell: 0.00
# M_tot, Bohr magnetons per cell: 0.00
data_NaPbBr3
_space_group_name_H-M_alt 'P -6'
_space_group_IT_number 174
_cell_length_a 7.6656
_cell_length_b 7.6656
_cell_length_c 3.9864
_cell_angle_alpha 90.00
_cell_angle_beta 90.00
_cell_angle_gamma 120.00
loop_
_space_group_symop_operation_xyz
'x,y,z'
'-x+y,-x,-z'
'-y,x-y,z'
'x,y,-z'
'-x+y,-x,z'
'-y,x-y,-z'
loop_
_atom_site_label
_atom_site_fract_x
_atom_site_fract_y
_atom_site_fract_z
Na1 0.0000 0.0000 0.0000
Pb1 0.6667 0.3333 0.0000
Br1 0.3324 0.2611 0.5000

# La2Pm4SmTh | Alexandria via LeMat-Bulk | PBE-GGA | optimized geometry
# DOS(E_F), states/eV per cell: 12.62
# M_tot, Bohr magnetons per cell: 0.00
# ΔE_f, kJ per mole of atoms: 3.45
data_La2Pm4SmTh
_space_group_name_H-M_alt 'P 4/m m m'
_space_group_IT_number 123
_space_group_name_Hall '-P 4 2'
_cell_length_a 5.192
_cell_length_b 5.192
_cell_length_c 10.297
_cell_angle_alpha 90.00
_cell_angle_beta 90.00
_cell_angle_gamma 90.00
loop_
_atom_site_label
_atom_site_fract_x
_atom_site_fract_y
_atom_site_fract_z
La1 0.000 0.000 0.000
La2 0.500 0.500 0.500
Pm1 0.000 0.500 0.244
Sm1 0.000 0.000 0.500
Th1 0.500 0.500 0.000

# AlPbClF4 | Alexandria via LeMat-Bulk | PBE-GGA | optimized geometry
# VASP energy, eV per atom: -5.124
# DOS(E_F), states/eV per cell: 0.00
# M_tot, Bohr magnetons per cell: 0.00
data_AlPbClF4
_space_group_name_H-M_alt 'C 1 2/m 1'
_space_group_IT_number 12
_cell_length_a 11.009
_cell_length_b 7.782
_cell_length_c 7.436
_cell_angle_alpha 90.00
_cell_angle_beta 109.81
_cell_angle_gamma 90.00
loop_
_space_group_symop_operation_xyz
'x,y,z'
'-x,-y,-z'
'-x,y,-z'
'x,-y,z'
'x+1/2,y+1/2,z'
'-x+1/2,-y+1/2,-z'
'-x+1/2,y+1/2,-z'
'x+1/2,-y+1/2,z'
loop_
_atom_site_label
_atom_site_fract_x
_atom_site_fract_y
_atom_site_fract_z
Al1 0.131 0.000 0.257
Pb1 0.201 0.500 0.135
Cl1 0.013 0.500 0.764
F1 0.032 0.000 0.821
F2 0.189 0.000 0.500
F3 0.191 0.176 0.175

# CaZrCo2 | Alexandria via LeMat-Bulk | PBE-GGA | optimized geometry
# DOS(E_F), states/eV per cell: 9.81
# M_tot, Bohr magnetons per cell: 2.91
# ΔE_f, kJ per mole of atoms: 19.86
data_CaZrCo2
_space_group_name_H-M_alt 'I m m 2'
_space_group_IT_number 44
_cell_length_a 3.098
_cell_length_b 4.433
_cell_length_c 10.347
_cell_angle_alpha 90.00
_cell_angle_beta 90.00
_cell_angle_gamma 90.00
loop_
_space_group_symop_operation_xyz
'x,y,z'
'-x,-y,z'
'-x,y,z'
'x,-y,z'
'x+1/2,y+1/2,z+1/2'
'-x+1/2,-y+1/2,z+1/2'
'-x+1/2,y+1/2,z+1/2'
'x+1/2,-y+1/2,z+1/2'
loop_
_atom_site_label
_atom_site_fract_x
_atom_site_fract_y
_atom_site_fract_z
Ca1 0.000 0.000 0.000
Zr1 0.000 0.500 0.214
Co1 0.000 0.000 0.444
Co2 0.000 0.500 0.774

# Ac2NbTc2N6 | Alexandria via LeMat-Bulk | PBE-GGA | optimized geometry
# VASP energy, eV per atom: -8.664
# DOS(E_F), states/eV per cell: 12.68
# M_tot, Bohr magnetons per cell: 0.00
data_Ac2NbTc2N6
_space_group_name_H-M_alt 'R -3 m'
_space_group_IT_number 166
_space_group_name_Hall '-R 3 2"'
_cell_length_a 6.0634
_cell_length_b 6.0634
_cell_length_c 16.4431
_cell_angle_alpha 90.00
_cell_angle_beta 90.00
_cell_angle_gamma 120.00
loop_
_atom_site_label
_atom_site_fract_x
_atom_site_fract_y
_atom_site_fract_z
Ac1 0.0000 0.0000 0.2177
Nb1 0.0000 0.0000 0.0000
Tc1 0.0000 0.0000 0.4319
N1 0.0183 0.5092 0.7450

# AlCuGe2 | Alexandria via LeMat-Bulk | PBE-GGA | optimized geometry
# DOS(E_F), states/eV per cell: 6.12
# M_tot, Bohr magnetons per cell: 0.00
# ΔE_f, kJ per mole of atoms: 16.80
data_AlCuGe2
_space_group_name_H-M_alt 'R -3 m'
_space_group_IT_number 166
_space_group_name_Hall '-R 3 2"'
_cell_length_a 2.8761
_cell_length_b 2.8761
_cell_length_c 28.4815
_cell_angle_alpha 90.00
_cell_angle_beta 90.00
_cell_angle_gamma 120.00
loop_
_atom_site_label
_atom_site_fract_x
_atom_site_fract_y
_atom_site_fract_z
Al1 0.0000 0.0000 0.0000
Cu1 0.0000 0.0000 0.5000
Ge1 0.0000 0.0000 0.0949

# TlP4 | Alexandria via LeMat-Bulk | PBE-GGA | optimized geometry
# E above lowest polymorph, eV per formula unit: 3.04
# DOS(E_F), states/eV per cell: 7.23
# M_tot, Bohr magnetons per cell: 0.02
# ΔE_f, kJ per mole of atoms: 181.99
data_TlP4
_space_group_name_H-M_alt 'P m -3 m'
_space_group_IT_number 221
_space_group_name_Hall '-P 4 2 3'
_cell_length_a 5.053
_cell_length_b 5.053
_cell_length_c 5.053
_cell_angle_alpha 90.00
_cell_angle_beta 90.00
_cell_angle_gamma 90.00
loop_
_atom_site_label
_atom_site_fract_x
_atom_site_fract_y
_atom_site_fract_z
Tl1 0.000 0.000 0.000
P1 0.000 0.000 0.500
P2 0.500 0.500 0.500

# ZnGaP2 | Alexandria via LeMat-Bulk | PBE-GGA | optimized geometry
# E above lowest polymorph, eV per formula unit: 2.42
# DOS(E_F), states/eV per cell: 5.12
# M_tot, Bohr magnetons per cell: 0.00
# ΔE_f, kJ per mole of atoms: 43.78
data_ZnGaP2
_space_group_name_H-M_alt 'R -3 m'
_space_group_IT_number 166
_space_group_name_Hall '-R 3 2"'
_cell_length_a 2.9730
_cell_length_b 2.9730
_cell_length_c 27.5356
_cell_angle_alpha 90.00
_cell_angle_beta 90.00
_cell_angle_gamma 120.00
loop_
_atom_site_label
_atom_site_fract_x
_atom_site_fract_y
_atom_site_fract_z
Zn1 0.0000 0.0000 0.0000
Ga1 0.0000 0.0000 0.5000
P1 0.0000 0.0000 0.0983

# Sc2MoPb | Alexandria via LeMat-Bulk | PBE-GGA | optimized geometry
# DOS(E_F), states/eV per cell: 9.88
# M_tot, Bohr magnetons per cell: 4.76
# ΔE_f, kJ per mole of atoms: 29.23
data_Sc2MoPb
_space_group_name_H-M_alt 'R 3 m'
_space_group_IT_number 160
_space_group_name_Hall 'R 3 -2"'
_cell_length_a 3.2500
_cell_length_b 3.2500
_cell_length_c 29.2762
_cell_angle_alpha 90.00
_cell_angle_beta 90.00
_cell_angle_gamma 120.00
loop_
_atom_site_label
_atom_site_fract_x
_atom_site_fract_y
_atom_site_fract_z
Sc1 0.0000 0.0000 0.0000
Sc2 0.0000 0.0000 0.2403
Mo1 0.0000 0.0000 0.7415
Pb1 0.0000 0.0000 0.4858